[1]
Crystalline Tm2H2SeS at its relaxed geometry. Source: the Alexandria database, functional PBE-GGA. Values from VASP.

Properties
Uncorrected energy = -5.331 eV/atom
Volume = 15.2 Å³/atom

```
&SYSTEM
  ibrav = 0, nat = 6, ntyp = 4
/
ATOMIC_SPECIES
Tm 168.93 Tm.upf
H 1.01 H.upf
Se 78.96 Se.upf
S 32.06 S.upf
CELL_PARAMETERS angstrom
3.736 0.000 0.000
-1.868 3.236 0.000
0.000 0.000 7.558
ATOMIC_POSITIONS angstrom
Tm 0.000 2.157 1.818
Tm 1.868 1.079 5.740
H 0.000 2.157 5.708
H 1.868 1.079 1.849
Se 0.000 0.000 3.779
S 0.000 0.000 0.000
```

=====

[2]
Crystalline U2H2SeS2 at its relaxed geometry. Source: the Alexandria database, functional PBE-GGA. Values from VASP.

Properties
Uncorrected energy = -6.855 eV/atom
Volume = 19.2 Å³/atom

```
&SYSTEM
  ibrav = 0, nat = 7, ntyp = 4
/
ATOMIC_SPECIES
U 238.03 U.upf
H 1.01 H.upf
Se 78.96 Se.upf
S 32.06 S.upf
CELL_PARAMETERS angstrom
1.913 1.105 10.584
-1.913 1.105 10.584
0.000 -2.209 10.584
ATOMIC_POSITIONS angstrom
U 0.000 0.000 7.304
U 0.000 0.000 24.448
H 0.000 0.000 3.420
H 0.000 0.000 28.332
Se 0.000 0.000 15.876
S 0.000 0.000 12.331
S 0.000 0.000 19.421
```

=====

[3]
Crystalline HWSeS2 at its relaxed geometry. Source: the Alexandria database, functional PBE-GGA. Values from VASP.

Properties
Uncorrected energy = -4.669 eV/atom
Volume = 15.6 Å³/atom

```
&SYSTEM
  ibrav = 0, nat = 5, ntyp = 4
/
ATOMIC_SPECIES
H 1.01 H.upf
W 183.84 W.upf
Se 78.96 Se.upf
S 32.06 S.upf
CELL_PARAMETERS angstrom
4.853 0.000 0.000
0.000 4.853 0.000
0.000 0.000 3.306
ATOMIC_POSITIONS angstrom
H 0.000 0.000 0.000
W 2.426 2.426 0.000
Se 0.000 0.000 1.653
S 0.000 2.426 1.653
S 2.426 0.000 1.653
```

=====

[4]
Crystalline Y2HSeS at its relaxed geometry. Source: the Alexandria database, functional PBE-GGA. Values from VASP.

Properties
Uncorrected energy = -5.666 eV/atom
Volume = 18.1 Å³/atom

```
&SYSTEM
  ibrav = 0, nat = 5, ntyp = 4
/
ATOMIC_SPECIES
Y 88.91 Y.upf
H 1.01 H.upf
Se 78.96 Se.upf
S 32.06 S.upf
CELL_PARAMETERS angstrom
4.882 0.000 0.000
0.000 4.882 0.000
0.000 0.000 3.806
ATOMIC_POSITIONS angstrom
Y 0.000 2.441 0.000
Y 2.441 0.000 0.000
H 0.000 0.000 0.000
Se 0.000 0.000 1.903
S 2.441 2.441 1.903
```

=====

[5]
Crystalline SiHS2 at its relaxed geometry. Source: the Alexandria database, functional PBE-GGA. Values from VASP.

Properties
Uncorrected energy = -4.451 eV/atom
Volume = 21.4 Å³/atom

```
&SYSTEM
  ibrav = 0, nat = 16, ntyp = 3
/
ATOMIC_SPECIES
Si 28.09 Si.upf
H 1.01 H.upf
S 32.06 S.upf
CELL_PARAMETERS angstrom
8.869 0.000 0.000
0.000 6.739 0.000
0.000 0.000 5.740
ATOMIC_POSITIONS angstrom
Si 8.865 0.980 0.000
Si 0.003 5.760 2.870
Si 4.431 2.390 0.000
Si 4.438 4.349 2.870
H 1.781 3.056 5.300
H 2.653 6.426 2.430
H 6.215 0.314 5.300
H 7.088 3.683 2.430
S 0.070 5.666 5.059
S 2.067 1.743 5.125
S 2.368 5.113 2.255
S 4.365 2.296 2.190
S 4.504 4.443 5.059
S 6.501 1.627 5.125
S 6.802 4.996 2.255
S 8.799 1.073 2.190
```

=====

[6]
Crystalline Si4HS2 at its relaxed geometry. Source: the Alexandria database, functional PBE-GGA. Values from VASP.

Properties
Uncorrected energy = -4.315 eV/atom
Volume = 16.0 Å³/atom

```
&SYSTEM
  ibrav = 0, nat = 14, ntyp = 3
/
ATOMIC_SPECIES
Si 28.09 Si.upf
H 1.01 H.upf
S 32.06 S.upf
CELL_PARAMETERS angstrom
3.670 0.000 0.000
0.000 3.670 0.000
0.000 0.000 16.635
ATOMIC_POSITIONS angstrom
Si 0.000 0.000 2.911
Si 0.000 0.000 13.725
Si 0.000 1.835 0.000
Si 0.000 1.835 8.318
Si 1.835 0.000 0.000
Si 1.835 0.000 8.318
Si 1.835 1.835 5.407
Si 1.835 1.835 11.228
H 0.000 0.000 0.000
H 1.835 1.835 8.318
S 0.000 0.000 5.239
S 0.000 0.000 11.396
S 1.835 1.835 3.079
S 1.835 1.835 13.557
```

=====

[7]
Crystalline SiHS2 at its relaxed geometry. Source: the Alexandria database, functional PBE-GGA. Values from VASP.

Properties
Uncorrected energy = -3.464 eV/atom
Volume = 12.5 Å³/atom

```
&SYSTEM
  ibrav = 0, nat = 12, ntyp = 3
/
ATOMIC_SPECIES
Si 28.09 Si.upf
H 1.01 H.upf
S 32.06 S.upf
CELL_PARAMETERS angstrom
2.807 0.000 0.000
-1.404 2.431 0.000
0.000 0.000 22.024
ATOMIC_POSITIONS angstrom
Si 0.000 0.000 0.000
Si 0.000 1.621 14.683
Si 1.404 0.810 7.341
H 0.000 0.000 11.012
H 0.000 1.621 3.671
H 1.404 0.810 18.353
S 0.000 0.000 2.315
S 0.000 0.000 19.709
S 0.000 1.621 12.368
S 0.000 1.621 16.997
S 1.404 0.810 5.026
S 1.404 0.810 9.656
```

=====

[8]
Crystalline SiHS2 at its relaxed geometry. Source: the Alexandria database, functional PBE-GGA. Values from VASP.

Properties
Uncorrected energy = -4.087 eV/atom
Volume = 15.0 Å³/atom

```
&SYSTEM
  ibrav = 0, nat = 16, ntyp = 3
/
ATOMIC_SPECIES
Si 28.09 Si.upf
H 1.01 H.upf
S 32.06 S.upf
CELL_PARAMETERS angstrom
5.593 0.000 0.000
0.000 5.593 0.000
0.000 0.000 7.669
ATOMIC_POSITIONS angstrom
Si 0.000 0.000 0.000
Si 0.000 2.797 1.917
Si 2.797 0.000 5.752
Si 2.797 2.797 3.834
H 0.000 0.000 3.834
H 0.000 2.797 5.752
H 2.797 0.000 1.917
H 2.797 2.797 0.000
S 1.374 1.398 0.959
S 1.398 4.171 2.876
S 1.398 4.219 6.710
S 1.422 1.398 4.793
S 4.171 4.195 4.793
S 4.195 1.374 6.710
S 4.195 1.422 2.876
S 4.219 4.195 0.959
```

=====

[9]
Crystalline Si2H2S3 at its relaxed geometry. Source: the Alexandria database, functional PBE-GGA. Values from VASP.

Properties
Uncorrected energy = -4.724 eV/atom
Volume = 21.9 Å³/atom

```
&SYSTEM
  ibrav = 0, nat = 28, ntyp = 3
/
ATOMIC_SPECIES
Si 28.09 Si.upf
H 1.01 H.upf
S 32.06 S.upf
CELL_PARAMETERS angstrom
8.177 0.000 0.000
0.000 8.177 0.000
0.000 0.000 9.186
ATOMIC_POSITIONS angstrom
Si 0.528 1.586 3.418
Si 1.586 7.649 5.769
Si 2.503 3.560 8.011
Si 3.560 5.675 1.176
Si 4.617 2.503 1.176
Si 5.675 4.617 8.011
Si 6.591 0.528 5.769
Si 7.649 6.591 3.418
H 0.903 2.739 2.562
H 1.350 3.186 7.155
H 2.739 7.274 6.624
H 3.186 6.828 2.031
H 4.992 1.350 2.031
H 5.438 0.903 6.624
H 6.828 4.992 7.155
H 7.274 5.438 2.562
S 0.000 0.000 2.065
S 0.000 0.000 7.121
S 1.134 5.905 4.598
S 1.816 5.223 0.004
S 2.273 1.134 4.589
S 2.955 1.816 9.182
S 4.089 4.089 2.528
S 4.089 4.089 6.658
S 5.223 6.361 9.182
S 5.905 7.044 4.589
S 6.361 2.955 0.004
S 7.044 2.273 4.598
```

=====

[10]
Crystalline SiH4S5 at its relaxed geometry. Source: the Alexandria database, functional PBE-GGA. Values from VASP.

Properties
Uncorrected energy = -3.947 eV/atom
Volume = 16.3 Å³/atom

```
&SYSTEM
  ibrav = 0, nat = 10, ntyp = 3
/
ATOMIC_SPECIES
Si 28.09 Si.upf
H 1.01 H.upf
S 32.06 S.upf
CELL_PARAMETERS angstrom
-3.418 3.418 3.488
3.418 -3.418 3.488
3.418 3.418 -3.488
ATOMIC_POSITIONS angstrom
Si 0.000 0.000 0.000
H 2.366 1.438 1.022
H 1.980 -1.052 4.510
H 1.438 4.471 1.022
H 1.052 1.980 4.510
S 4.708 -0.076 0.937
S 2.128 0.076 0.937
S -0.076 2.128 0.937
S 0.000 0.000 4.894
S 0.076 4.708 0.937
```

=====

[11]
Crystalline SiHS2 at its relaxed geometry. Source: the Alexandria database, functional PBE-GGA. Values from VASP.

Properties
Uncorrected energy = -3.565 eV/atom
Volume = 12.5 Å³/atom

```
&SYSTEM
  ibrav = 0, nat = 16, ntyp = 3
/
ATOMIC_SPECIES
Si 28.09 Si.upf
H 1.01 H.upf
S 32.06 S.upf
CELL_PARAMETERS angstrom
5.842 0.000 0.000
0.000 5.842 0.000
0.000 0.000 5.842
ATOMIC_POSITIONS angstrom
Si 0.000 0.000 0.000
Si 0.000 2.921 2.921
Si 2.921 0.000 2.921
Si 2.921 2.921 0.000
H 0.000 0.000 2.921
H 0.000 2.921 0.000
H 2.921 0.000 0.000
H 2.921 2.921 2.921
S 1.461 1.461 1.461
S 1.461 1.461 4.382
S 1.461 4.382 1.461
S 1.461 4.382 4.382
S 4.382 1.461 1.461
S 4.382 1.461 4.382
S 4.382 4.382 1.461
S 4.382 4.382 4.382
```